1.
This record from Alexandria describes AsRu3S after structural relaxation. The functional is PBE-GGA.

Calculated values
**Offset from the most stable computed form**: 0.0000 eV/atom
**Formation energy (no corrections)**: 2.98 eV per formula unit
**Symmetry**: Pm-3m (221)
**Total magnetic moment**: 0.00 μB per formula unit

Lattice parameters (Å, degrees): 4.3612 4.3612 4.3612 90.00 90.00 90.00
Element x y z (fractional)
As: 0.0000 0.0000 0.0000
Ru: 0.0000 0.5000 0.5000
Ru: 0.5000 0.0000 0.5000
Ru: 0.5000 0.5000 0.0000
S: 0.5000 0.5000 0.5000

=====

2.
This record from Alexandria describes PmZnPtRh after structural relaxation. The functional is PBE-GGA.

Calculated values
**Energy of formation**: -240 kJ/mol of formula units
**Symmetry**: F-43m (216)
**Total magnetic moment**: 0.00 μB per formula unit

Lattice parameters (Å, degrees): 4.7009 4.7009 4.7009 60.00 60.00 60.00
Element x y z (fractional)
Pm: 0.0000 0.0000 0.0000
Zn: 0.5000 0.5000 0.5000
Pt: 0.7500 0.7500 0.7500
Rh: 0.2500 0.2500 0.2500

=====

3.
This record from Alexandria describes AcMg6Au2 after structural relaxation. The functional is PBE-GGA.

Calculated values
**Energy of formation**: -325 kJ/mol of formula units
**Symmetry**: P4/mmm (123)
**Total magnetic moment**: 0.00 μB per formula unit

Lattice parameters (Å, degrees): 4.3998 4.3998 11.0820 90.00 90.00 90.00
Element x y z (fractional)
Ac: 0.0000 0.0000 0.0000
Mg: 0.0000 0.0000 0.5000
Mg: 0.0000 0.5000 0.2863
Mg: 0.0000 0.5000 0.7137
Mg: 0.5000 0.0000 0.2863
Mg: 0.5000 0.0000 0.7137
Mg: 0.5000 0.5000 0.5000
Au: 0.5000 0.5000 0.1315
Au: 0.5000 0.5000 0.8685

=====

4.
This record from Alexandria describes Li2CeHoTe4 after structural relaxation. The functional is PBE-GGA.

Calculated values
**Formation energy (no corrections)**: -10.01 eV per formula unit
**Symmetry**: P2/m (10)
**Total magnetic moment**: 0.99 μB per formula unit

Lattice parameters (Å, degrees): 7.5007 4.4037 7.6299 90.00 109.73 90.00
Element x y z (fractional)
Li: 0.0000 0.0000 0.0000
Li: 0.0000 0.5000 0.5000
Ce: 0.5000 0.0000 0.5000
Ho: 0.5000 0.5000 0.0000
Te: 0.2394 0.5000 0.2384
Te: 0.2440 0.0000 0.7560
Te: 0.7560 0.0000 0.2440
Te: 0.7606 0.5000 0.7616

=====

The calculation returns the following E values, one per record and in order: -6.724 -5.476 -2.622 -4.615 eV/atom.
The calculation returns the following Fermi-level density of states values, one per record and in order: 5.04 1.92 6.09 6.74 states/eV/f.u..